No. 1
An optimized crystal structure of UGe2. Source: OQMD via LeMat-Bulk, functional PBE.

Calculated values
Total energy in eV per atom: -5.041

Cell: 12.3872 12.3872 12.3872 Å, 90.00 90.00 90.00°
Last column: nearest neighbours and their distance in Å.
Space group Fd-3m (No. 227, origin choice 2)
One atom of each set of equivalent atoms:
U 0.1250 0.1250 0.1250 (multiplicity 8)  4 Ge 2.68
Ge 0.0000 0.0000 0.0000 (multiplicity 16)  2 U 2.68

---

No. 2
An optimized crystal structure of UZnGe. Source: OQMD via LeMat-Bulk, functional PBE.

Calculated values
Total energy in eV per atom: -5.454

Cell: 6.4351 6.4351 6.4351 Å, 90.00 90.00 90.00°
Last column: nearest neighbours and their distance in Å.
Space group F-43m (No. 216)
One atom of each set of equivalent atoms:
U 0.0000 0.0000 0.0000 (multiplicity 4)  4 Ge 2.79
Zn 0.0000 0.0000 0.5000 (multiplicity 4)  4 Ge 2.79
Ge 0.2500 0.2500 0.2500 (multiplicity 4)  4 U 2.79, 4 Zn 2.79

---

No. 3
An optimized crystal structure of UZnGe. Source: OQMD via LeMat-Bulk, functional PBE.

Calculated values
Total energy in eV per atom: -5.307

Cell: 6.6533 6.6533 6.6533 Å, 90.00 90.00 90.00°
Last column: nearest neighbours and their distance in Å.
Space group F-43m (No. 216)
One atom of each set of equivalent atoms:
U 0.0000 0.0000 0.0000 (multiplicity 4)  4 Ge 2.88, 4 Zn 2.88
Zn 0.2500 0.2500 0.2500 (multiplicity 4)  4 U 2.88
Ge 0.2500 0.2500 0.7500 (multiplicity 4)  4 U 2.88

---

No. 4
An optimized crystal structure of Ge3W5. Source: OQMD via LeMat-Bulk, functional PBE.

Calculated values
Total energy in eV per atom: -9.484

Cell: 6.3738 6.3738 12.3415 Å, 90.00 90.00 90.00°
Last column: nearest neighbours and their distance in Å.
Space group I4/mcm (No. 140)
One atom of each set of equivalent atoms:
Ge 0.0000 0.0000 0.2500 (multiplicity 4)  8 W 2.62
Ge 0.1380 0.3620 0.0000 (multiplicity 8)  4 W 2.47-2.65, 1 Ge 2.49
W 0.0000 0.0000 0.0000 (multiplicity 4)  4 Ge 2.47
W 0.1661 0.3339 0.3402 (multiplicity 16)  5 Ge 2.62-2.77, 1 W 2.69

---

No. 5
An optimized crystal structure of Ge2W3. Source: OQMD via LeMat-Bulk, functional PBE.

Calculated values
Total energy in eV per atom: -9.203

Cell: 6.9229 6.9229 3.2571 Å, 90.00 90.00 90.00°
Last column: nearest neighbours and their distance in Å.
Space group P4/mbm (No. 127)
One atom of each set of equivalent atoms:
Ge 0.1461 0.3539 0.0000 (multiplicity 4)  8 W 2.58-2.65, 1 Ge 2.86
W 0.0000 0.0000 0.0000 (multiplicity 2)  4 Ge 2.65
W 0.1500 0.6500 0.5000 (multiplicity 4)  6 Ge 2.58-2.62

---

No. 6
An optimized crystal structure of Ge3W5. Source: OQMD via LeMat-Bulk, functional PBE.

Calculated values
Total energy in eV per atom: -9.642

Cell: 9.8818 9.8818 5.0510 Å, 90.00 90.00 90.00°
Last column: nearest neighbours and their distance in Å.
Space group I4/mcm (No. 140)
One atom of each set of equivalent atoms:
Ge 0.0000 0.0000 0.2500 (multiplicity 4)  2 Ge 2.53, 8 W 2.71
Ge 0.1698 0.3302 0.0000 (multiplicity 8)  10 W 2.59-2.87
W 0.0000 0.5000 0.2500 (multiplicity 4)  2 W 2.53, 4 Ge 2.69
W 0.0748 0.2305 0.5000 (multiplicity 16)  6 Ge 2.59-2.87, 1 W 2.72